<1>
AsSeNF2 | GGA-PBEsol | relaxed

- calculated density (Mg/m³) = 5.37
- M_tot (μB/f.u.) = 0.00

Cell and atoms, written as CIF:
```
data_AsSeNF2
_symmetry_space_group_name_H-M 'P 4/m m m'
_symmetry_Int_Tables_number 123
_symmetry_space_group_name_Hall '-P 4 2'
_cell_length_a 3.933
_cell_length_b 3.933
_cell_length_c 4.118
_cell_angle_alpha 90.00
_cell_angle_beta 90.00
_cell_angle_gamma 90.00
loop_
_atom_site_label
_atom_site_type_symbol
_atom_site_fract_x
_atom_site_fract_y
_atom_site_fract_z
As1 As 0.000 0.000 0.000
Se1 Se 0.500 0.500 0.000
N1 N 0.500 0.500 0.500
F1 F 0.000 0.500 0.500
```

=====

<2>
AsSeNF2 | GGA-PBEsol | relaxed

- calculated density (Mg/m³) = 5.11
- M_tot (μB/f.u.) = 0.50

Cell and atoms, written as CIF:
```
data_AsSeNF2
_symmetry_space_group_name_H-M 'P 4/m m m'
_symmetry_Int_Tables_number 123
_symmetry_space_group_name_Hall '-P 4 2'
_cell_length_a 3.944
_cell_length_b 3.944
_cell_length_c 4.299
_cell_angle_alpha 90.00
_cell_angle_beta 90.00
_cell_angle_gamma 90.00
loop_
_atom_site_label
_atom_site_type_symbol
_atom_site_fract_x
_atom_site_fract_y
_atom_site_fract_z
As1 As 0.000 0.000 0.000
Se1 Se 0.500 0.500 0.500
N1 N 0.000 0.000 0.500
F1 F 0.000 0.500 0.000
```

=====

The data favor <2>; the next most stable structure lies 38.8 kJ/mol of atoms above it.

=====

<1>
AsWF2 | GGA-PBEsol | relaxed

- calculated density (Mg/m³) = 9.48
- M_tot (μB/f.u.) = 0.00

Cell and atoms, written as CIF:
```
data_AsWF2
_symmetry_space_group_name_H-M 'I -4 2 d'
_symmetry_Int_Tables_number 122
_symmetry_space_group_name_Hall 'I -4 2bw'
_cell_length_a 3.652
_cell_length_b 3.652
_cell_length_c 15.591
_cell_angle_alpha 90.00
_cell_angle_beta 90.00
_cell_angle_gamma 90.00
loop_
_atom_site_label
_atom_site_type_symbol
_atom_site_fract_x
_atom_site_fract_y
_atom_site_fract_z
As1 As 0.000 0.000 0.000
W1 W 0.000 0.000 0.500
F1 F 0.188 0.250 0.625
```

=====

<2>
AsWF2 | GGA-PBEsol | relaxed

- calculated density (Mg/m³) = 7.71
- M_tot (μB/f.u.) = 0.00

Cell and atoms, written as CIF:
```
data_AsWF2
_symmetry_space_group_name_H-M 'R -3 m'
_symmetry_Int_Tables_number 166
_symmetry_space_group_name_Hall '-R 3 2"'
_cell_length_a 2.7416
_cell_length_b 2.7416
_cell_length_c 29.4461
_cell_angle_alpha 90.00
_cell_angle_beta 90.00
_cell_angle_gamma 120.00
loop_
_atom_site_label
_atom_site_type_symbol
_atom_site_fract_x
_atom_site_fract_y
_atom_site_fract_z
As1 As 0.0000 0.0000 0.0000
W1 W 0.0000 0.0000 0.5000
F1 F 0.0000 0.0000 0.1153
```

=====

The data favor <2>; the next most stable structure lies 16.4 kJ/mol of atoms above it.

=====

<1>
InFe2As | GGA-PBEsol | relaxed

- calculated density (Mg/m³) = 8.71
- M_tot (μB/f.u.) = 2.94

Cell and atoms, written as CIF:
```
data_InFe2As
_symmetry_space_group_name_H-M 'I m m m'
_symmetry_Int_Tables_number 71
_symmetry_space_group_name_Hall '-I 2 2'
_cell_length_a 3.814
_cell_length_b 4.575
_cell_length_c 6.584
_cell_angle_alpha 90.00
_cell_angle_beta 90.00
_cell_angle_gamma 90.00
loop_
_atom_site_label
_atom_site_type_symbol
_atom_site_fract_x
_atom_site_fract_y
_atom_site_fract_z
In1 In 0.000 0.000 0.000
Fe1 Fe 0.000 0.500 0.203
As1 As 0.000 0.000 0.500
```

=====

<2>
InFe2As | GGA-PBEsol | relaxed

- calculated density (Mg/m³) = 8.87
- M_tot (μB/f.u.) = 3.56

Cell and atoms, written as CIF:
```
data_InFe2As
_symmetry_space_group_name_H-M 'P 4/m m m'
_symmetry_Int_Tables_number 123
_symmetry_space_group_name_Hall '-P 4 2'
_cell_length_a 4.264
_cell_length_b 4.264
_cell_length_c 3.105
_cell_angle_alpha 90.00
_cell_angle_beta 90.00
_cell_angle_gamma 90.00
loop_
_atom_site_label
_atom_site_type_symbol
_atom_site_fract_x
_atom_site_fract_y
_atom_site_fract_z
In1 In 0.000 0.000 0.000
Fe1 Fe 0.000 0.500 0.500
As1 As 0.500 0.500 0.000
```

=====

The data favor <1>; the next most stable structure lies 4.1 kJ/mol of atoms above it.